HoAl2Co after structural relaxation. Source: OQMD, functional PBE.

Properties
total moment	0.00	μB/f.u.
raw total energy	-84.3	eV/cell

a b c (Å): 4.164 18.194 3.812
angles (deg): 90.00 90.00 90.00
Space group Cmmm (No. 65)
One atom of each set of equivalent atoms:
Ho (0.000, 0.140, 0.000) [4 per cell]
Al (0.000, 0.000, 0.500) [2 per cell]
Al (0.000, 0.291, 0.500) [4 per cell]
Al (0.000, 0.500, 0.000) [2 per cell]
Co (0.000, 0.424, 0.500) [4 per cell]


Ho2Al4CoNi after structural relaxation. Source: OQMD, functional PBE.

Properties
total moment	0.00	μB/f.u.
raw total energy	-83.1	eV/cell

a b c (Å): 6.948 4.052 9.995
angles (deg): 90.00 90.00 90.00
Space group Amm2 (No. 38)
One atom of each set of equivalent atoms:
Ho (0.000, 0.000, 0.000) [2 per cell]
Ho (0.500, 0.000, 0.122) [2 per cell]
Al (0.194, 0.000, 0.718) [4 per cell]
Al (0.304, 0.000, 0.404) [4 per cell]
Co (0.000, 0.000, 0.276) [2 per cell]
Ni (0.500, 0.000, 0.844) [2 per cell]


Ho2AlCoNi after structural relaxation. Source: OQMD, functional PBE.

Properties
total moment	0.01	μB/f.u.
raw total energy	-56.0	eV/cell

a b c (Å): 4.069 8.275 5.423
angles (deg): 90.00 90.00 90.00
Space group Imm2 (No. 44)
One atom of each set of equivalent atoms:
Ho (0.000, 0.202, 0.000) [4 per cell]
Al (0.000, 0.000, 0.491) [2 per cell]
Co (0.000, 0.500, 0.725) [2 per cell]
Ni (0.000, 0.500, 0.263) [2 per cell]


Ho2Al4CoPd after structural relaxation. Source: OQMD, functional PBE.

Properties
total moment	0.01	μB/f.u.
raw total energy	-83.4	eV/cell

a b c (Å): 7.044 4.134 10.063
angles (deg): 90.00 90.00 90.00
Space group Amm2 (No. 38)
One atom of each set of equivalent atoms:
Ho (0.000, 0.000, 0.000) [2 per cell]
Ho (0.500, 0.000, 0.126) [2 per cell]
Al (0.207, 0.000, 0.719) [4 per cell]
Al (0.313, 0.000, 0.412) [4 per cell]
Co (0.500, 0.000, 0.851) [2 per cell]
Pd (0.000, 0.000, 0.281) [2 per cell]


Ho2Al4CoPt after structural relaxation. Source: OQMD, functional PBE.

Properties
total moment	0.01	μB/f.u.
raw total energy	-86.7	eV/cell

a b c (Å): 7.038 4.116 10.114
angles (deg): 90.00 90.00 90.00
Space group Amm2 (No. 38)
One atom of each set of equivalent atoms:
Ho (0.000, 0.000, 0.000) [2 per cell]
Ho (0.500, 0.000, 0.127) [2 per cell]
Al (0.206, 0.000, 0.720) [4 per cell]
Al (0.313, 0.000, 0.412) [4 per cell]
Co (0.500, 0.000, 0.851) [2 per cell]
Pt (0.000, 0.000, 0.282) [2 per cell]


Ho2AlCoSi after structural relaxation. Source: OQMD, functional PBE.

Properties
total moment	0.00	μB/f.u.
raw total energy	-56.3	eV/cell

a b c (Å): 4.042 8.646 5.526
angles (deg): 90.00 90.00 90.00
Space group Imm2 (No. 44)
One atom of each set of equivalent atoms:
Ho (0.000, 0.203, 0.000) [4 per cell]
Al (0.000, 0.000, 0.485) [2 per cell]
Co (0.000, 0.500, 0.710) [2 per cell]
Si (0.000, 0.500, 0.278) [2 per cell]


TbHoAl4Co2 after structural relaxation. Source: OQMD, functional PBE.

Properties
total moment	0.01	μB/f.u.
raw total energy	-85.4	eV/cell

a b c (Å): 7.017 4.041 9.915
angles (deg): 90.00 90.00 90.00
Space group Amm2 (No. 38)
One atom of each set of equivalent atoms:
Tb (0.000, 0.000, 0.000) [2 per cell]
Ho (0.500, 0.000, 0.878) [2 per cell]
Al (0.195, 0.000, 0.280) [4 per cell]
Al (0.307, 0.000, 0.598) [4 per cell]
Co (0.000, 0.000, 0.725) [2 per cell]
Co (0.500, 0.000, 0.154) [2 per cell]


HoTmAlCo2 after structural relaxation. Source: OQMD, functional PBE.

Properties
E above lowest polymorph	0.0000	eV per atom
total moment	0.00	μB/f.u.

a b c (Å): 4.007 5.415 8.212
angles (deg): 90.00 90.00 90.00
Space group Imm2 (No. 44)
One atom of each set of equivalent atoms:
Ho (0.000, 0.000, 0.000) [2 per cell]
Tm (0.000, 0.000, 0.591) [2 per cell]
Al (0.000, 0.500, 0.796) [2 per cell]
Co (0.000, 0.276, 0.295) [4 per cell]


HoTmAlCo2 after structural relaxation. Source: OQMD, functional PBE.

Properties
E above lowest polymorph	0.0924	eV per atom
total moment	0.23	μB/f.u.

a b c (Å): 3.830 3.742 13.006
angles (deg): 90.00 90.00 90.00
Space group Amm2 (No. 38)
One atom of each set of equivalent atoms:
Ho (0.000, 0.000, 0.000) [2 per cell]
Tm (0.000, 0.000, 0.730) [2 per cell]
Al (0.500, 0.000, 0.365) [2 per cell]
Co (0.500, 0.000, 0.167) [2 per cell]
Co (0.500, 0.000, 0.565) [2 per cell]


HoZrAlCo2 after structural relaxation. Source: OQMD, functional PBE.

Properties
total moment	0.01	μB/f.u.
raw total energy	-66.2	eV/cell

a b c (Å): 4.045 5.305 7.828
angles (deg): 90.00 90.00 90.00
Space group Imm2 (No. 44)
One atom of each set of equivalent atoms:
Ho (0.000, 0.000, 0.000) [2 per cell]
Zr (0.000, 0.000, 0.589) [2 per cell]
Al (0.000, 0.500, 0.798) [2 per cell]
Co (0.000, 0.274, 0.293) [4 per cell]


Tb2AlCoI2 after structural relaxation. Source: OQMD, functional PBE.

Properties
total moment	0.22	μB/f.u.
raw total energy	-28.3	eV/cell

a b c (Å): 4.1211 4.1211 12.4195
angles (deg): 90.00 90.00 120.00
Space group P3m1 (No. 156)
One atom of each set of equivalent atoms:
Tb (0.0000, 0.0000, 0.0000) [1 per cell]
Tb (0.0000, 0.0000, 0.3081) [1 per cell]
Al (0.6667, 0.3333, 0.1552) [1 per cell]
Co (0.3333, 0.6667, 0.1522) [1 per cell]
I (0.3333, 0.6667, 0.4782) [1 per cell]
I (0.6667, 0.3333, 0.8302) [1 per cell]


AlIn2Co after structural relaxation. Source: OQMD, functional PBE.

Properties
total moment	0.02	μB/f.u.
raw total energy	-58.5	eV/cell

a b c (Å): 6.644 6.644 6.644
angles (deg): 90.00 90.00 90.00
Space group F-43m (No. 216)
One atom of each set of equivalent atoms:
Al (0.000, 0.000, 0.000) [4 per cell]
In (0.000, 0.000, 0.500) [4 per cell]
In (0.250, 0.250, 0.750) [4 per cell]
Co (0.250, 0.250, 0.250) [4 per cell]


Al2InCo2 after structural relaxation. Source: OQMD, functional PBE.

Properties
total moment	0.01	μB/f.u.
raw total energy	-183.4	eV/cell

a b c (Å): 2.871 13.008 15.221
angles (deg): 90.00 90.00 90.00
Space group Fddd (No. 70, origin choice 2)
One atom of each set of equivalent atoms:
Al (0.000, 0.000, 0.000) [16 per cell]
In (0.125, 0.125, 0.125) [8 per cell]
Co (0.125, 0.303, 0.625) [16 per cell]


Al2InCo after structural relaxation. Source: OQMD, functional PBE.

Properties
total moment	0.00	μB/f.u.
raw total energy	-65.7	eV/cell

a b c (Å): 6.310 6.310 6.310
angles (deg): 90.00 90.00 90.00
Space group F-43m (No. 216)
One atom of each set of equivalent atoms:
Al (0.000, 0.000, 0.000) [4 per cell]
Al (0.250, 0.250, 0.250) [4 per cell]
In (0.000, 0.000, 0.500) [4 per cell]
Co (0.250, 0.250, 0.750) [4 per cell]


AlCoIr after structural relaxation. Source: OQMD, functional PBE.

Properties
E above lowest polymorph	0.0000	eV per atom
total moment	1.70	μB/f.u.

a b c (Å): 5.614 5.614 5.614
angles (deg): 90.00 90.00 90.00
Space group F-43m (No. 216)
One atom of each set of equivalent atoms:
Al (0.000, 0.000, 0.000) [4 per cell]
Co (0.250, 0.250, 0.250) [4 per cell]
Ir (0.000, 0.000, 0.500) [4 per cell]


AlCoIr after structural relaxation. Source: OQMD, functional PBE.

Properties
E above lowest polymorph	0.0576	eV per atom
total moment	0.19	μB/f.u.

a b c (Å): 3.209 3.209 4.557
angles (deg): 90.00 90.00 90.00
Space group P4/mmm (No. 123)
One atom of each set of equivalent atoms:
Al (0.000, 0.000, 0.000) [1 per cell]
Co (0.500, 0.500, 0.000) [1 per cell]
Ir (0.500, 0.500, 0.500) [1 per cell]


AlCoIr2 after structural relaxation. Source: OQMD, functional PBE.

Properties
total moment	2.74	μB/f.u.
raw total energy	-115.6	eV/cell

a b c (Å): 6.020 6.020 6.020
angles (deg): 90.00 90.00 90.00
Space group F-43m (No. 216)
One atom of each set of equivalent atoms:
Al (0.000, 0.000, 0.000) [4 per cell]
Co (0.250, 0.250, 0.250) [4 per cell]
Ir (0.000, 0.000, 0.500) [4 per cell]
Ir (0.250, 0.250, 0.750) [4 per cell]


AlCo2Ir after structural relaxation. Source: OQMD, functional PBE.

Properties
total moment	3.33	μB/f.u.
raw total energy	-111.8	eV/cell

a b c (Å): 5.805 5.805 5.805
angles (deg): 90.00 90.00 90.00
Space group F-43m (No. 216)
One atom of each set of equivalent atoms:
Al (0.000, 0.000, 0.000) [4 per cell]
Co (0.000, 0.000, 0.500) [4 per cell]
Co (0.250, 0.250, 0.750) [4 per cell]
Ir (0.250, 0.250, 0.250) [4 per cell]


Li2Nb2Al2CoIr after structural relaxation. Source: OQMD, functional PBE.

Properties
total moment	0.00	μB/f.u.
raw total energy	-51.4	eV/cell

a b c (Å): 4.274 4.274 6.069
angles (deg): 90.00 90.00 90.00
Space group P-4m2 (No. 115)
One atom of each set of equivalent atoms:
Li (0.000, 0.000, 0.000) [1 per cell]
Li (0.500, 0.500, 0.500) [1 per cell]
Nb (0.000, 0.500, 0.238) [2 per cell]
Al (0.000, 0.500, 0.755) [2 per cell]
Co (0.500, 0.500, 0.000) [1 per cell]
Ir (0.000, 0.000, 0.500) [1 per cell]


LuAlCoIr after structural relaxation. Source: OQMD, functional PBE.

Properties
E above lowest polymorph	0.0000	eV per atom
total moment	0.00	μB/f.u.

a b c (Å): 6.254 6.254 6.254
angles (deg): 90.00 90.00 90.00
Space group F-43m (No. 216)
One atom of each set of equivalent atoms:
Lu (0.000, 0.000, 0.000) [4 per cell]
Al (0.000, 0.000, 0.500) [4 per cell]
Co (0.250, 0.250, 0.750) [4 per cell]
Ir (0.250, 0.250, 0.250) [4 per cell]


LuAlCoIr after structural relaxation. Source: OQMD, functional PBE.

Properties
E above lowest polymorph	0.5043	eV per atom
total moment	1.89	μB/f.u.

a b c (Å): 6.396 6.396 6.396
angles (deg): 90.00 90.00 90.00
Space group F-43m (No. 216)
One atom of each set of equivalent atoms:
Lu (0.000, 0.000, 0.000) [4 per cell]
Al (0.250, 0.250, 0.250) [4 per cell]
Co (0.000, 0.000, 0.500) [4 per cell]
Ir (0.250, 0.250, 0.750) [4 per cell]


MgAlCoIr after structural relaxation. Source: OQMD, functional PBE.

Properties
E above lowest polymorph	0.0000	eV per atom
total moment	0.00	μB/f.u.

a b c (Å): 5.982 5.982 5.982
angles (deg): 90.00 90.00 90.00
Space group F-43m (No. 216)
One atom of each set of equivalent atoms:
Mg (0.000, 0.000, 0.000) [4 per cell]
Al (0.000, 0.000, 0.500) [4 per cell]
Co (0.250, 0.250, 0.750) [4 per cell]
Ir (0.250, 0.250, 0.250) [4 per cell]


AlCoNiIr after structural relaxation. Source: OQMD, functional PBE.

Properties
E above lowest polymorph	0.0000	eV per atom
total moment	2.17	μB/f.u.

a b c (Å): 5.841 5.841 5.841
angles (deg): 90.00 90.00 90.00
Space group F-43m (No. 216)
One atom of each set of equivalent atoms:
Al (0.000, 0.000, 0.000) [4 per cell]
Co (0.250, 0.250, 0.250) [4 per cell]
Ni (0.000, 0.000, 0.500) [4 per cell]
Ir (0.250, 0.250, 0.750) [4 per cell]


AlCoNiIr after structural relaxation. Source: OQMD, functional PBE.

Properties
E above lowest polymorph	0.0911	eV per atom
total moment	1.83	μB/f.u.

a b c (Å): 5.852 5.852 5.852
angles (deg): 90.00 90.00 90.00
Space group F-43m (No. 216)
One atom of each set of equivalent atoms:
Al (0.000, 0.000, 0.000) [4 per cell]
Co (0.250, 0.250, 0.250) [4 per cell]
Ni (0.250, 0.250, 0.750) [4 per cell]
Ir (0.000, 0.000, 0.500) [4 per cell]


Al2Co4NiIr after structural relaxation. Source: OQMD, functional PBE.

Properties
total moment	6.04	μB/f.u.
raw total energy	-52.4	eV/cell

a b c (Å): 4.076 4.076 5.747
angles (deg): 90.00 90.00 90.00
Space group P-4m2 (No. 115)
One atom of each set of equivalent atoms:
Al (0.000, 0.500, 0.240) [2 per cell]
Co (0.000, 0.000, 0.500) [1 per cell]
Co (0.000, 0.500, 0.764) [2 per cell]
Co (0.500, 0.500, 0.000) [1 per cell]
Ni (0.000, 0.000, 0.000) [1 per cell]
Ir (0.500, 0.500, 0.500) [1 per cell]


AlCoIrOs after structural relaxation. Source: OQMD, functional PBE.

Properties
E above lowest polymorph	0.0000	eV per atom
total moment	1.24	μB/f.u.

a b c (Å): 6.018 6.018 6.018
angles (deg): 90.00 90.00 90.00
Space group F-43m (No. 216)
One atom of each set of equivalent atoms:
Al (0.000, 0.000, 0.000) [4 per cell]
Co (0.250, 0.250, 0.250) [4 per cell]
Ir (0.000, 0.000, 0.500) [4 per cell]
Os (0.250, 0.250, 0.750) [4 per cell]


Tm2AlCoIr after structural relaxation. Source: OQMD, functional PBE.

Properties
total moment	0.00	μB/f.u.
raw total energy	-64.5	eV/cell

a b c (Å): 4.041 8.319 5.614
angles (deg): 90.00 90.00 90.00
Space group Imm2 (No. 44)
One atom of each set of equivalent atoms:
Tm (0.000, 0.202, 0.000) [4 per cell]
Al (0.000, 0.000, 0.511) [2 per cell]
Co (0.000, 0.500, 0.263) [2 per cell]
Ir (0.000, 0.500, 0.727) [2 per cell]


Y2Al4CoIr after structural relaxation. Source: OQMD, functional PBE.

Properties
total moment	0.00	μB/f.u.
raw total energy	-98.8	eV/cell

a b c (Å): 7.082 4.083 10.171
angles (deg): 90.00 90.00 90.00
Space group Amm2 (No. 38)
One atom of each set of equivalent atoms:
Y (0.000, 0.000, 0.000) [2 per cell]
Y (0.500, 0.000, 0.123) [2 per cell]
Al (0.186, 0.000, 0.718) [4 per cell]
Al (0.296, 0.000, 0.399) [4 per cell]
Co (0.000, 0.000, 0.276) [2 per cell]
Ir (0.500, 0.000, 0.842) [2 per cell]